An optimized crystal structure of AcTm4Cr3O12, computed with PBE with a Hubbard U. Values from VASP.

Geometry as Quantum ESPRESSO input:
```
&SYSTEM
  ibrav = 0, nat = 20, ntyp = 4
/
ATOMIC_SPECIES
Cr 52.00 Cr.upf
Tm 168.93 Tm.upf
O 16.00 O.upf
Ac 227.00 Ac.upf
ATOMIC_POSITIONS angstrom
Cr 1.712 -3.440 1.294
Cr -3.178 -2.103 -1.383
Cr 1.845 -0.431 -3.584
Tm 0.189 -2.986 -1.837
Tm -1.523 0.453 -3.131
Tm -1.656 -2.556 1.748
Tm 3.368 -0.884 -0.453
O 2.928 -4.842 0.631
O 0.223 -5.032 -0.968
O 1.668 -2.311 -0.321
O 1.843 -3.551 -3.210
O -3.804 -3.970 -1.481
O -1.135 -4.715 1.670
O 0.156 -0.941 -2.705
O -1.465 -2.422 -0.463
O -2.550 -1.131 -4.305
O 4.182 -2.003 -2.192
O 1.513 -1.258 -5.343
O -1.290 -3.662 -3.352
Ac 0.000 0.000 0.000
CELL_PARAMETERS angstrom
-3.046 0.906 -6.262
6.735 -1.768 -0.907
-3.311 -5.111 3.496
```

Output
Electronic total energy ... -7.953 eV per atom